1.
A geometry-optimized Cs2KMoI6 structure. Source: the Alexandria database, functional GGA-PBEsol.

a b c (Å): 8.530 8.530 8.530
angles (deg): 60.00 60.00 60.00
Fractional coordinates of all 10 atoms:
Cs1 0.250 0.250 0.250
Cs2 0.750 0.750 0.750
K1 0.000 0.000 0.000
Mo1 0.500 0.500 0.500
I1 0.271 0.271 0.729
I2 0.271 0.729 0.271
I3 0.271 0.729 0.729
I4 0.729 0.271 0.271
I5 0.729 0.271 0.729
I6 0.729 0.729 0.271

Properties
SG ... Fm-3m (225)
Raw formation energy ... -0.926 eV/atom


2.
A geometry-optimized CaZrNi2 structure. Source: the Alexandria database, functional GGA-PBEsol.

a b c (Å): 3.246 3.246 6.754
angles (deg): 90.00 90.00 90.00
Fractional coordinates of all 4 atoms:
Ca1 0.000 0.000 0.000
Zr1 0.000 0.000 0.500
Ni1 0.500 0.500 0.305
Ni2 0.500 0.500 0.695

Properties
SG ... P4/mmm (123)
ΔH_f (0 K) ... -0.27 eV per atom


3.
A geometry-optimized NiMo2OsO structure. Source: the Alexandria database, functional GGA-PBEsol.

a b c (Å): 4.387 4.387 4.377
angles (deg): 90.00 90.00 90.00
Fractional coordinates of all 5 atoms:
Ni1 0.000 0.000 0.000
Mo1 0.000 0.500 0.000
Mo2 0.500 0.000 0.000
Os1 0.000 0.000 0.500
O1 0.500 0.500 0.500

Properties
SG ... P4/mmm (123)
Raw formation energy ... 2.209 eV/atom


4.
A geometry-optimized CsRhSe2Br structure. Source: the Alexandria database, functional GGA-PBEsol.

a b c (Å): 5.633 5.633 6.325
angles (deg): 90.00 90.00 90.00
Fractional coordinates of all 5 atoms:
Cs1 0.000 0.000 0.000
Rh1 0.500 0.500 0.500
Se1 0.000 0.500 0.000
Se2 0.500 0.000 0.000
Br1 0.000 0.000 0.500

Properties
SG ... P4/mmm (123)
Raw formation energy ... 1.558 eV/atom


| no. | theoretical density (g/cm³) | M_tot (μB/f.u.) |
| --- | --- | --- |
| 1 | 4.398 | 3.00 |
| 2 | 5.803 | 0.00 |
| 3 | 9.004 | 1.57 |
| 4 | 3.919 | 3.05 |